<i>
{"formula": "Cd2Sn2P", "functional": "PBE", "state": "optimized geometry", "lattice": [[7.2156, 0.0000, 0.0000], [0.0000, 7.2156, 0.0000], [0.0000, 0.0000, 5.0239]], "species": ["Cd", "Cd", "Cd", "Cd", "Sn", "Sn", "Sn", "Sn", "P", "P"], "fractional_positions": [[0.1630, 0.3370, 0.0000], [0.3370, 0.8370, 0.0000], [0.6630, 0.1630, 0.0000], [0.8370, 0.6630, 0.0000], [0.1557, 0.6557, 0.5000], [0.3443, 0.1557, 0.5000], [0.6557, 0.8443, 0.5000], [0.8443, 0.3443, 0.5000], [0.0000, 0.0000, 0.5000], [0.5000, 0.5000, 0.5000]], "magmom_total_mub_per_cell": 0.000, "n_ef_per_ev_cell": 6.252}

---

<ii>
{"formula": "Cd2Sn2P", "functional": "PBE", "state": "optimized geometry", "lattice": [[6.9647, 0.0000, 0.0000], [0.0000, 6.9647, 0.0000], [0.0000, 0.0000, 5.1716]], "species": ["Cd", "Cd", "Cd", "Cd", "Sn", "Sn", "Sn", "Sn", "P", "P"], "fractional_positions": [[0.1434, 0.3566, 0.0000], [0.3566, 0.8566, 0.0000], [0.6434, 0.1434, 0.0000], [0.8566, 0.6434, 0.0000], [0.1697, 0.6697, 0.5000], [0.3303, 0.1697, 0.5000], [0.6697, 0.8303, 0.5000], [0.8303, 0.3303, 0.5000], [0.0000, 0.0000, 0.0000], [0.5000, 0.5000, 0.0000]], "magmom_total_mub_per_cell": 0.000, "n_ef_per_ev_cell": 7.126}

---

Q: Which of them is the most stable? A: <i>.

---

<i>
{"formula": "CdSn2P", "functional": "PBE", "state": "optimized geometry", "lattice": [[1.9168, 1.1066, 7.8426], [-1.9168, 1.1066, 7.8426], [0.0000, -2.2133, 7.8426]], "species": ["Cd", "Sn", "Sn", "P"], "fractional_positions": [[0.0000, 0.0000, 0.0000], [0.5716, 0.5716, 0.5716], [0.7629, 0.7629, 0.7629], [0.1691, 0.1691, 0.1691]], "magmom_total_mub_per_cell": 0.000, "n_ef_per_ev_cell": 2.193}

---

<ii>
{"formula": "CdSn2P", "functional": "PBE", "state": "optimized geometry", "lattice": [[0.0000, 3.6212, 3.6212], [3.6212, 0.0000, 3.6212], [3.6212, 3.6212, 0.0000]], "species": ["Cd", "Sn", "Sn", "P"], "fractional_positions": [[0.0000, 0.0000, 0.0000], [0.2500, 0.2500, 0.2500], [0.7500, 0.7500, 0.7500], [0.5000, 0.5000, 0.5000]], "magmom_total_mub_per_cell": 0.000, "n_ef_per_ev_cell": 3.609}

---

<iii>
{"formula": "CdSn2P", "functional": "PBE", "state": "optimized geometry", "lattice": [[1.8286, 1.0558, 9.5801], [-1.8286, 1.0558, 9.5801], [0.0000, -2.1115, 9.5801]], "species": ["Cd", "Sn", "Sn", "P"], "fractional_positions": [[0.0000, 0.0000, 0.0000], [0.1067, 0.1067, 0.1067], [0.8933, 0.8933, 0.8933], [0.5000, 0.5000, 0.5000]], "magmom_total_mub_per_cell": 0.000, "n_ef_per_ev_cell": 1.545}

---

Q: Which of them is the most stable? A: <i>.

---

<i>
{"formula": "Cd3SnP", "functional": "PBE", "state": "optimized geometry", "lattice": [[5.1353, 0.0000, 0.0000], [0.0000, 5.1353, 0.0000], [0.0000, 0.0000, 5.1353]], "species": ["Cd", "Cd", "Cd", "Sn", "P"], "fractional_positions": [[0.0000, 0.0000, 0.5000], [0.0000, 0.5000, 0.0000], [0.5000, 0.0000, 0.0000], [0.5000, 0.5000, 0.5000], [0.0000, 0.0000, 0.0000]], "magmom_total_mub_per_cell": 0.000, "n_ef_per_ev_cell": 4.523}

---

<ii>
{"formula": "Cd3SnP", "functional": "PBE", "state": "optimized geometry", "lattice": [[5.4851, 0.0000, 0.0000], [0.0000, 5.4851, 0.0000], [0.0000, 0.0000, 5.4851]], "species": ["Cd", "Cd", "Cd", "Sn", "P"], "fractional_positions": [[0.0000, 0.0000, 0.5000], [0.0000, 0.5000, 0.0000], [0.5000, 0.0000, 0.0000], [0.0000, 0.0000, 0.0000], [0.5000, 0.5000, 0.5000]], "magmom_total_mub_per_cell": 1.542, "n_ef_per_ev_cell": 4.200}

---

Q: Which of them is the most stable? A: <i>.

---

<i>
{"formula": "SrCdP3", "functional": "PBE", "state": "optimized geometry", "lattice": [[5.0398, 0.0000, 0.0000], [0.0000, 5.0398, 0.0000], [0.0000, 0.0000, 5.0398]], "species": ["Sr", "Cd", "P", "P", "P"], "fractional_positions": [[0.0000, 0.0000, 0.0000], [0.5000, 0.5000, 0.5000], [0.0000, 0.5000, 0.5000], [0.5000, 0.0000, 0.5000], [0.5000, 0.5000, 0.0000]], "magmom_total_mub_per_cell": 0.000, "n_ef_per_ev_cell": 4.033}

---

<ii>
{"formula": "SrCdP3", "functional": "PBE", "state": "optimized geometry", "lattice": [[5.4680, 0.0000, 0.0000], [0.0000, 5.4680, 0.0000], [0.0000, 0.0000, 5.4680]], "species": ["Sr", "Cd", "P", "P", "P"], "fractional_positions": [[0.0000, 0.0000, 0.0000], [0.5000, 0.5000, 0.5000], [0.0000, 0.0000, 0.5000], [0.0000, 0.5000, 0.0000], [0.5000, 0.0000, 0.0000]], "magmom_total_mub_per_cell": 0.000, "n_ef_per_ev_cell": 4.205}

---

Q: Which of them is the most stable? A: <i>.

---

<i>
{"formula": "Sr2Cd2P", "functional": "PBE", "state": "optimized geometry", "lattice": [[7.7763, 0.0000, 0.0000], [0.0000, 7.7763, 0.0000], [0.0000, 0.0000, 4.8937]], "species": ["Sr", "Sr", "Sr", "Sr", "Cd", "Cd", "Cd", "Cd", "P", "P"], "fractional_positions": [[0.1802, 0.3198, 0.0000], [0.3198, 0.8198, 0.0000], [0.6802, 0.1802, 0.0000], [0.8198, 0.6802, 0.0000], [0.1287, 0.6287, 0.5000], [0.3713, 0.1287, 0.5000], [0.6287, 0.8713, 0.5000], [0.8713, 0.3713, 0.5000], [0.0000, 0.0000, 0.5000], [0.5000, 0.5000, 0.5000]], "magmom_total_mub_per_cell": 0.000, "n_ef_per_ev_cell": 5.892}

---

<ii>
{"formula": "Sr2Cd2P", "functional": "PBE", "state": "optimized geometry", "lattice": [[-1.9870, 1.9870, 9.6349], [1.9870, -1.9870, 9.6349], [1.9870, 1.9870, -9.6349]], "species": ["Sr", "Sr", "Cd", "Cd", "P"], "fractional_positions": [[0.0835, 0.0835, 0.0000], [0.9165, 0.9165, 0.0000], [0.2500, 0.7500, 0.5000], [0.7500, 0.2500, 0.5000], [0.5000, 0.5000, 0.0000]], "magmom_total_mub_per_cell": 0.000, "n_ef_per_ev_cell": 2.614}

---

Q: Which of them is the most stable? A: <ii>.

---

<i>
{"formula": "Ta2CdP", "functional": "PBE", "state": "optimized geometry", "lattice": [[-1.9752, 1.9752, 4.4462], [1.9752, -1.9752, 4.4462], [1.9752, 1.9752, -4.4462]], "species": ["Ta", "Ta", "Cd", "P"], "fractional_positions": [[0.0000, 0.0000, 0.0000], [0.7500, 0.2500, 0.5000], [0.2500, 0.7500, 0.5000], [0.5000, 0.5000, 0.0000]], "magmom_total_mub_per_cell": 0.000, "n_ef_per_ev_cell": 3.636}

---

<ii>
{"formula": "Ta2CdP", "functional": "PBE", "state": "optimized geometry", "lattice": [[-1.7595, 2.4589, 4.0895], [1.7595, -2.4589, 4.0895], [1.7595, 2.4589, -4.0895]], "species": ["Ta", "Ta", "Cd", "P"], "fractional_positions": [[0.2066, 0.2066, 0.0000], [0.7934, 0.7934, 0.0000], [0.5000, 0.0000, 0.5000], [0.0000, 0.5000, 0.5000]], "magmom_total_mub_per_cell": 0.000, "n_ef_per_ev_cell": 2.959}

---

<iii>
{"formula": "Ta2CdP", "functional": "PBE", "state": "optimized geometry", "lattice": [[-1.9711, 1.9711, 9.7534], [1.9711, -1.9711, 9.7534], [1.9711, 1.9711, -9.7534]], "species": ["Ta", "Ta", "Ta", "Ta", "Cd", "Cd", "P", "P"], "fractional_positions": [[0.1133, 0.6250, 0.9883], [0.3750, 0.3633, 0.4883], [0.6367, 0.1250, 0.0117], [0.8750, 0.8867, 0.5117], [0.2500, 0.7500, 0.5000], [0.5000, 0.5000, 0.0000], [0.0000, 0.0000, 0.0000], [0.7500, 0.2500, 0.5000]], "magmom_total_mub_per_cell": 0.000, "n_ef_per_ev_cell": 8.434}

---

<iv>
{"formula": "Ta2CdP", "functional": "PBE", "state": "optimized geometry", "lattice": [[3.4892, 0.0000, 0.0000], [0.0000, 4.3394, 0.0000], [0.0000, 0.0000, 4.6260]], "species": ["Ta", "Ta", "Cd", "P"], "fractional_positions": [[0.0000, 0.0000, 0.0000], [0.5000, 0.0000, 0.5000], [0.0000, 0.5000, 0.5000], [0.5000, 0.5000, 0.0000]], "magmom_total_mub_per_cell": 0.000, "n_ef_per_ev_cell": 2.469}

---

Q: Which of them is the most stable? A: <ii>.

---

<i>
{"formula": "CdTc2P", "functional": "PBE", "state": "optimized geometry", "lattice": [[-1.5048, 2.3691, 4.3490], [1.5048, -2.3691, 4.3490], [1.5048, 2.3691, -4.3490]], "species": ["Cd", "Tc", "Tc", "P"], "fractional_positions": [[0.0000, 0.0000, 0.0000], [0.2929, 0.7929, 0.5000], [0.7071, 0.2071, 0.5000], [0.5000, 0.5000, 0.0000]], "magmom_total_mub_per_cell": 0.000, "n_ef_per_ev_cell": 3.154}

---

<ii>
{"formula": "CdTc2P", "functional": "PBE", "state": "optimized geometry", "lattice": [[1.7736, 1.0240, 6.4794], [-1.7736, 1.0240, 6.4794], [0.0000, -2.0480, 6.4794]], "species": ["Cd", "Tc", "Tc", "P"], "fractional_positions": [[0.0000, 0.0000, 0.0000], [0.2197, 0.2197, 0.2197], [0.7803, 0.7803, 0.7803], [0.5000, 0.5000, 0.5000]], "magmom_total_mub_per_cell": 0.002, "n_ef_per_ev_cell": 3.727}

---

Q: Which of them is the most stable? A: <ii>.

---

<i>
{"formula": "Cd3TcP", "functional": "PBE", "state": "optimized geometry", "lattice": [[4.9965, 0.0000, 0.0000], [0.0000, 4.9965, 0.0000], [0.0000, 0.0000, 4.9965]], "species": ["Cd", "Cd", "Cd", "Tc", "P"], "fractional_positions": [[0.0000, 0.0000, 0.5000], [0.0000, 0.5000, 0.0000], [0.5000, 0.0000, 0.0000], [0.5000, 0.5000, 0.5000], [0.0000, 0.0000, 0.0000]], "magmom_total_mub_per_cell": 3.227, "n_ef_per_ev_cell": 4.433}

---

<ii>
{"formula": "Cd3TcP", "functional": "PBE", "state": "optimized geometry", "lattice": [[5.2267, 0.0000, 0.0000], [0.0000, 5.2267, 0.0000], [0.0000, 0.0000, 5.2267]], "species": ["Cd", "Cd", "Cd", "Tc", "P"], "fractional_positions": [[0.0000, 0.0000, 0.5000], [0.0000, 0.5000, 0.0000], [0.5000, 0.0000, 0.0000], [0.0000, 0.0000, 0.0000], [0.5000, 0.5000, 0.5000]], "magmom_total_mub_per_cell": 2.600, "n_ef_per_ev_cell": 3.573}

---

Q: Which of them is the most stable? A: <i>.